The following is a GGA+U calculation of a geometry-optimized KLiCr2F6 structure, from Alexandria.

Cell lengths 5.6224, 5.6945, 5.8868 Å; angles 93.92, 117.25, 114.23 degrees
Space group P1 (No. 1)
One atom of each set of equivalent atoms:
K  0.0000  0.0000  0.0000
Li  0.1184  0.6201  0.6390
Cr  0.4564  0.2268  0.7241
Cr  0.4697  0.7103  0.2414
F  0.0189  0.5320  0.9208
F  0.3023  0.4531  0.5084
F  0.4614  0.0188  0.4317
F  0.4880  0.4230  0.0422
F  0.4965  0.9497  0.9154
F  0.9196  0.8447  0.5151

Calculated values
Uncorrected energy = -5.60 eV/atom
DOS at the Fermi energy = 0.0 states/eV/f.u.